VASP calculation (PBE with a Hubbard U) on a geometry-optimized B3MoO structure.

Crystal system ... cubic
Energy relative to the lowest polymorph listed for this composition ... 0.00 eV per formula unit
Total magnetic moment ... 0.00 μB per cell

Unit cell a=3.521 b=3.521 c=3.521 alpha=90.00 beta=90.00 gamma=90.00
Sites, in units of the cell vectors:
B 0.500 0.000 0.000
B 0.000 0.500 0.000
B 0.000 0.000 0.500
O 0.000 0.000 0.000
Mo 0.500 0.500 0.500